NbCrO4 | GGA+U | optimized geometry

a b c (Å): 4.7645 5.6552 5.6320
angles (deg): 114.54 90.00 90.00
Closest atoms and distances in Å follow each position.
Atoms (fractional coordinates):
O  0.3065  0.8454  0.1495  2 Nb 2.00-2.05, 1 Cr 2.02
O  0.1944  0.8561  0.6581  1 Nb 1.98, 2 Cr 2.04-2.05
Nb  0.0000  0.0000  0.0000  6 O 1.98-2.05
Nb  0.5000  0.5000  0.0000  6 O 1.98-2.05
Cr  0.0000  0.5000  0.5000  6 O 2.02-2.05
Cr  0.5000  0.0000  0.5000  6 O 2.02-2.05
O  0.8056  0.1439  0.3419  1 Nb 1.98, 2 Cr 2.04-2.05
O  0.6935  0.1546  0.8505  2 Nb 2.00-2.05, 1 Cr 2.02
O  0.3056  0.3561  0.6581  1 Nb 1.98, 2 Cr 2.04-2.05
O  0.8065  0.6546  0.8505  2 Nb 2.00-2.05, 1 Cr 2.02
O  0.1935  0.3454  0.1495  2 Nb 2.00-2.05, 1 Cr 2.02
O  0.6944  0.6439  0.3419  1 Nb 1.98, 2 Cr 2.04-2.05

Properties
E_tot, Ry per atom: -0.62616
DOS(E_F), states/eV per cell: 0.00
Symmetry: P2_1/c